No. 1
# SmY6Tl2, optimized geometry, DFT PBE-GGA
# Distance to the lowest polymorph of the same formula: 0.000 eV/atom
# Calculated formation energy: -164 meV/atom
# DOS at the Fermi energy: 25.61 states/eV per cell
data_SmY6Tl2
_space_group_name_H-M_alt 'C 1 2/m 1'
_space_group_IT_number 12
_cell_length_a 12.840
_cell_length_b 3.767
_cell_length_c 12.082
_cell_angle_alpha 90.00
_cell_angle_beta 107.78
_cell_angle_gamma 90.00
loop_
_space_group_symop_operation_xyz
'x,y,z'
'-x,-y,-z'
'-x,y,-z'
'x,-y,z'
'x+1/2,y+1/2,z'
'-x+1/2,-y+1/2,-z'
'-x+1/2,y+1/2,-z'
'x+1/2,-y+1/2,z'
loop_
_atom_site_label
_atom_site_type_symbol
_atom_site_fract_x
_atom_site_fract_y
_atom_site_fract_z
Sm1 Sm 0.000 0.000 0.000
Y1 Y 0.014 0.000 0.346
Y2 Y 0.187 0.500 0.875
Y3 Y 0.192 0.500 0.585
Tl1 Tl 0.140 0.500 0.210

***

No. 2
# Sm2Y3Tl, optimized geometry, DFT PBE-GGA
# Distance to the lowest polymorph of the same formula: 0.008 eV/atom
# Calculated formation energy: -105 meV/atom
# DOS at the Fermi energy: 15.07 states/eV per cell
data_Sm2Y3Tl
_space_group_name_H-M_alt 'C m m m'
_space_group_IT_number 65
_space_group_name_Hall '-C 2 2'
_cell_length_a 4.902
_cell_length_b 15.355
_cell_length_c 4.910
_cell_angle_alpha 90.00
_cell_angle_beta 90.00
_cell_angle_gamma 90.00
loop_
_atom_site_label
_atom_site_type_symbol
_atom_site_fract_x
_atom_site_fract_y
_atom_site_fract_z
Sm1 Sm 0.000 0.163 0.000
Y1 Y 0.000 0.000 0.500
Y2 Y 0.000 0.334 0.500
Tl1 Tl 0.000 0.500 0.000

***

No. 3
# Sm4YTl, optimized geometry, DFT PBE-GGA
# Distance to the lowest polymorph of the same formula: 0.000 eV/atom
# Calculated formation energy: -37 meV/atom
# DOS at the Fermi energy: 10.92 states/eV per cell
data_Sm4YTl
_space_group_name_H-M_alt 'P 4/m m m'
_space_group_IT_number 123
_space_group_name_Hall '-P 4 2'
_cell_length_a 4.130
_cell_length_b 4.130
_cell_length_c 11.234
_cell_angle_alpha 90.00
_cell_angle_beta 90.00
_cell_angle_gamma 90.00
loop_
_atom_site_label
_atom_site_type_symbol
_atom_site_fract_x
_atom_site_fract_y
_atom_site_fract_z
Sm1 Sm 0.000 0.000 0.148
Sm2 Sm 0.500 0.500 0.333
Y1 Y 0.000 0.000 0.500
Tl1 Tl 0.500 0.500 0.000

***

No. 4
# Sm2YTl4, optimized geometry, DFT PBE-GGA
# Distance to the lowest polymorph of the same formula: 0.000 eV/atom
# Calculated formation energy: -240 meV/atom
# DOS at the Fermi energy: 10.60 states/eV per cell
data_Sm2YTl4
_space_group_name_H-M_alt 'I 4/m m m'
_space_group_IT_number 139
_space_group_name_Hall '-I 4 2'
_cell_length_a 5.319
_cell_length_b 5.319
_cell_length_c 15.078
_cell_angle_alpha 90.00
_cell_angle_beta 90.00
_cell_angle_gamma 90.00
loop_
_atom_site_label
_atom_site_type_symbol
_atom_site_fract_x
_atom_site_fract_y
_atom_site_fract_z
Sm1 Sm 0.000 0.000 0.248
Y1 Y 0.000 0.000 0.500
Tl1 Tl 0.000 0.500 0.114

***

No. 5
# Sm2Y3Tl3, optimized geometry, DFT PBE-GGA
# Calculated formation energy: -271 meV/atom
# DOS at the Fermi energy: 16.48 states/eV per cell
data_Sm2Y3Tl3
_space_group_name_H-M_alt 'I m m m'
_space_group_IT_number 71
_space_group_name_Hall '-I 2 2'
_cell_length_a 4.407
_cell_length_b 4.994
_cell_length_c 21.027
_cell_angle_alpha 90.00
_cell_angle_beta 90.00
_cell_angle_gamma 90.00
loop_
_atom_site_label
_atom_site_type_symbol
_atom_site_fract_x
_atom_site_fract_y
_atom_site_fract_z
Sm1 Sm 0.000 0.000 0.237
Y1 Y 0.000 0.000 0.000
Y2 Y 0.000 0.500 0.118
Tl1 Tl 0.000 0.000 0.500
Tl2 Tl 0.000 0.500 0.376

***

No. 6
# Sm2Y3Tl2, optimized geometry, DFT PBE-GGA
# Calculated formation energy: -212 meV/atom
# DOS at the Fermi energy: 12.58 states/eV per cell
data_Sm2Y3Tl2
_space_group_name_H-M_alt 'C 1 2/m 1'
_space_group_IT_number 12
_cell_length_a 9.451
_cell_length_b 5.464
_cell_length_c 8.743
_cell_angle_alpha 90.00
_cell_angle_beta 111.23
_cell_angle_gamma 90.00
loop_
_space_group_symop_operation_xyz
'x,y,z'
'-x,-y,-z'
'-x,y,-z'
'x,-y,z'
'x+1/2,y+1/2,z'
'-x+1/2,-y+1/2,-z'
'-x+1/2,y+1/2,-z'
'x+1/2,-y+1/2,z'
loop_
_atom_site_label
_atom_site_type_symbol
_atom_site_fract_x
_atom_site_fract_y
_atom_site_fract_z
Sm1 Sm 0.076 0.000 0.229
Y1 Y 0.000 0.500 0.500
Y2 Y 0.153 0.500 0.960
Tl1 Tl 0.218 0.000 0.653

***

Q: The highest calculated formation energy belongs to which entry?
A: Sm4YTl

***

Repeat the third record exactly.
# Sm4YTl, optimized geometry, DFT PBE-GGA
# Distance to the lowest polymorph of the same formula: 0.000 eV/atom
# Calculated formation energy: -37 meV/atom
# DOS at the Fermi energy: 10.92 states/eV per cell
data_Sm4YTl
_space_group_name_H-M_alt 'P 4/m m m'
_space_group_IT_number 123
_space_group_name_Hall '-P 4 2'
_cell_length_a 4.130
_cell_length_b 4.130
_cell_length_c 11.234
_cell_angle_alpha 90.00
_cell_angle_beta 90.00
_cell_angle_gamma 90.00
loop_
_atom_site_label
_atom_site_type_symbol
_atom_site_fract_x
_atom_site_fract_y
_atom_site_fract_z
Sm1 Sm 0.000 0.000 0.148
Sm2 Sm 0.500 0.500 0.333
Y1 Y 0.000 0.000 0.500
Tl1 Tl 0.500 0.500 0.000